Compound: Cs3Mn2SnF9
Source: Alexandria
Functional: PBE with a Hubbard U
Structure: optimized geometry

Cell: 6.3856 6.3856 7.8538 Å, 90.00 90.00 120.00°
With the nearest neighbours (Å) after each atom.
Space group P-3m1 (No. 164)
Asymmetric unit:
Cs (0.0000, 0.0000, 0.0000)  12 F 3.17-3.19
Cs (0.3333, 0.6667, 0.6695)  12 F 3.18-3.26
Mn (0.3333, 0.6667, 0.1542)  6 F 2.16-2.21
Sn (0.0000, 0.0000, 0.5000)  6 F 2.42
F (0.0000, 0.5000, 0.0000)  2 Mn 2.21
F (0.1761, 0.3522, 0.3181)  1 Mn 2.16, 1 Sn 2.42

Uncorrected energy = -78.2 eV/f.u.
D(E_F) = 0.00 states/eV/cell
Magnetic moment = 0.667 μB per atom